A relaxed structure of YSi2W. Source: Alexandria, functional GGA-PBE.

Cell: 6.520 6.520 6.520 Å, 148.80 147.57 45.62°
Last column: magnetic moment on the atom in μB.
Fractional positions:
Si: 0.026 0.026 0.000  0.00
Si: 0.672 0.172 0.500  0.01
W: 0.515 0.515 0.000  0.17
Y: 0.287 0.787 0.500  0.13

Properties
ρ, kg/m3: 7118
Energy relative to the lowest polymorph listed for this composition, meV/atom: 331.4
Total magnetic moment, μB per formula unit: 0.51
E_form (uncorrected), eV per formula unit: -0.060